# 1
Material: LiTeIN2
Method: DFT, meta-GGA SCAN
State: PBEsol geometry

Summary:
* formation energy from raw total energies: 1529 meV/atom
* E above lowest polymorph: 0.497 eV/f.u.

Unit cell a=4.329 b=4.329 c=5.126 alpha=90.00 beta=90.00 gamma=90.00
Space group P4/mmm (No. 123)
Unique sites:
Li 0.000 0.000 0.000 (multiplicity 1)
Te 0.500 0.500 0.500 (multiplicity 1)
I 0.000 0.000 0.500 (multiplicity 1)
N 0.000 0.500 0.000 (multiplicity 2)

***

# 2
Material: DyZn5
Method: DFT, meta-GGA SCAN
State: PBEsol geometry

Summary:
* E_form: -0.369 eV per atom

Unit cell a=5.1941 b=5.1941 c=4.1447 alpha=90.00 beta=90.00 gamma=120.00
Space group P6/mmm (No. 191)
Unique sites:
Dy 0.0000 0.0000 0.0000 (multiplicity 1)
Zn 0.0000 0.5000 0.5000 (multiplicity 3)
Zn 0.3333 0.6667 0.0000 (multiplicity 2)

***

# 3
Material: BeAlCr3
Method: DFT, meta-GGA SCAN
State: PBEsol geometry

Summary:
* E_form: 1.480 eV per atom
* E above lowest polymorph: 4.162 eV/f.u.

Unit cell a=4.397 b=4.397 c=4.397 alpha=90.00 beta=90.00 gamma=90.00
Space group Pm-3m (No. 221)
Unique sites:
Be 0.000 0.000 0.000 (multiplicity 1)
Al 0.500 0.500 0.500 (multiplicity 1)
Cr 0.000 0.500 0.500 (multiplicity 3)

***

# 4
Material: Eu3As4
Method: DFT, meta-GGA SCAN
State: PBEsol geometry

Summary:
* E_form: -1.159 eV per atom

Unit cell a=14.341 b=17.005 c=5.662 alpha=90.00 beta=90.00 gamma=90.00
Space group Fdd2 (No. 43)
Unique sites:
Eu 0.000 0.000 0.000 (multiplicity 8)
Eu 0.004 0.335 0.034 (multiplicity 16)
As 0.082 0.167 0.039 (multiplicity 16)
As 0.091 0.005 0.493 (multiplicity 16)

***

# 5
Material: KAu2Br
Method: DFT, meta-GGA SCAN
State: PBEsol geometry

Summary:
* formation energy from raw total energies: -325 meV/atom
* E above lowest polymorph: 0.099 eV/f.u.

Unit cell a=4.286 b=5.962 c=8.417 alpha=90.00 beta=90.00 gamma=90.00
Space group Imm2 (No. 44)
Unique sites:
K 0.000 0.000 0.000 (multiplicity 2)
Au 0.000 0.000 0.486 (multiplicity 2)
Au 0.000 0.500 0.811 (multiplicity 2)
Br 0.000 0.500 0.198 (multiplicity 2)

***

# 6
Material: CdIr2W
Method: DFT, meta-GGA SCAN
State: PBEsol geometry

Summary:
* E_form: 0.248 eV per atom

Unit cell a=3.837 b=3.837 c=8.353 alpha=90.00 beta=90.00 gamma=90.00
Space group I-4m2 (No. 119)
Unique sites:
Cd 0.000 0.000 0.000 (multiplicity 2)
Ir 0.000 0.000 0.500 (multiplicity 2)
Ir 0.000 0.500 0.250 (multiplicity 2)
W 0.000 0.500 0.750 (multiplicity 2)

***

# 7
Material: Hf2HgGeH
Method: DFT, meta-GGA SCAN
State: PBEsol geometry

Summary:
* calculated total energy: -42.932 eV per atom

Unit cell a=5.198 b=5.198 c=3.356 alpha=90.00 beta=90.00 gamma=90.00
Space group P4/mmm (No. 123)
Unique sites:
Hf 0.000 0.500 0.000 (multiplicity 2)
Hg 0.000 0.000 0.500 (multiplicity 1)
Ge 0.500 0.500 0.000 (multiplicity 1)
H 0.500 0.500 0.500 (multiplicity 1)

***

# 8
Material: CdTe2
Method: DFT, meta-GGA SCAN
State: PBEsol geometry

Summary:
* formation energy from raw total energies: -99 meV/atom

Unit cell a=4.3315 b=4.3315 c=6.1075 alpha=90.00 beta=90.00 gamma=120.00
Space group P-6m2 (No. 187)
Unique sites:
Cd 0.0000 0.0000 0.0000 (multiplicity 1)
Te 0.3333 0.6667 0.2631 (multiplicity 2)

***

# 9
Material: Na3Zn
Method: DFT, meta-GGA SCAN
State: PBEsol geometry

Summary:
* E_form: 0.090 eV per atom

Unit cell a=4.765 b=4.765 c=4.765 alpha=90.00 beta=90.00 gamma=90.00
Space group Pm-3m (No. 221)
Unique sites:
Na 0.000 0.000 0.500 (multiplicity 3)
Zn 0.500 0.500 0.500 (multiplicity 1)

***

# 10
Material: Sr2TaCr
Method: DFT, meta-GGA SCAN
State: PBEsol geometry

Summary:
* E_form: 0.697 eV per atom
* E above lowest polymorph: 0.000 eV/f.u.

Unit cell a=3.292 b=3.874 c=18.510 alpha=90.00 beta=90.00 gamma=90.00
Space group Immm (No. 71)
Unique sites:
Sr 0.000 0.000 0.154 (multiplicity 4)
Ta 0.000 0.500 0.000 (multiplicity 2)
Cr 0.000 0.500 0.500 (multiplicity 2)

***

# 11
Material: Cu2Au
Method: DFT, meta-GGA SCAN
State: PBEsol geometry

Summary:
* E_form: 0.034 eV per atom
* E above lowest polymorph: 0.322 eV/f.u.

Unit cell a=2.705 b=13.725 c=4.370 alpha=90.00 beta=90.00 gamma=90.00
Space group Cmcm (No. 63)
Unique sites:
Cu 0.000 0.047 0.250 (multiplicity 4)
Cu 0.000 0.396 0.250 (multiplicity 4)
Au 0.000 0.290 0.750 (multiplicity 4)

***

# 12
Material: Rb2NiGeC
Method: DFT, meta-GGA SCAN
State: PBEsol geometry

Summary:
* E_form: 1.193 eV per atom

Unit cell a=6.012 b=6.012 c=4.392 alpha=90.00 beta=90.00 gamma=90.00
Space group P4/mmm (No. 123)
Unique sites:
Rb 0.000 0.500 0.000 (multiplicity 2)
Ni 0.000 0.000 0.000 (multiplicity 1)
Ge 0.000 0.000 0.500 (multiplicity 1)
C 0.500 0.500 0.500 (multiplicity 1)

***

# 13
Material: BaB3Rh
Method: DFT, meta-GGA SCAN
State: PBEsol geometry

Summary:
* E_form: 0.495 eV per atom
* E above lowest polymorph: 0.000 eV/f.u.

Unit cell a=4.186 b=4.186 c=4.186 alpha=90.00 beta=90.00 gamma=90.00
Space group Pm-3m (No. 221)
Unique sites:
Ba 0.000 0.000 0.000 (multiplicity 1)
B 0.000 0.500 0.500 (multiplicity 3)
Rh 0.500 0.500 0.500 (multiplicity 1)

***

# 14
Material: YCr2Cu2
Method: DFT, meta-GGA SCAN
State: PBEsol geometry

Summary:
* E_form: 0.334 eV per atom

Unit cell a=3.460 b=3.460 c=12.311 alpha=90.00 beta=90.00 gamma=90.00
Space group I4/mmm (No. 139)
Unique sites:
Y 0.000 0.000 0.000 (multiplicity 2)
Cr 0.000 0.500 0.250 (multiplicity 4)
Cu 0.000 0.000 0.397 (multiplicity 4)

***

# 15
Material: Mg4Cd5
Method: DFT, meta-GGA SCAN
State: PBEsol geometry

Summary:
* E_form: -0.087 eV per atom
* E above lowest polymorph: 0.178 eV/f.u.

Unit cell a=8.5483 b=8.5483 c=5.9912 alpha=90.00 beta=90.00 gamma=120.00
Space group P6_3/mcm (No. 193)
Unique sites:
Mg 0.0000 0.0000 0.0000 (multiplicity 2)
Mg 0.0000 0.3519 0.2500 (multiplicity 6)
Cd 0.0000 0.3135 0.7500 (multiplicity 6)
Cd 0.3333 0.6667 0.0000 (multiplicity 4)

***

# 16
Material: TlCd2FeRh
Method: DFT, meta-GGA SCAN
State: PBEsol geometry

Summary:
* E_form: 0.430 eV per atom

Unit cell a=5.103 b=5.103 c=4.597 alpha=90.00 beta=90.00 gamma=90.00
Space group P4/mmm (No. 123)
Unique sites:
Tl 0.000 0.000 0.000 (multiplicity 1)
Cd 0.000 0.500 0.500 (multiplicity 2)
Fe 0.500 0.500 0.000 (multiplicity 1)
Rh 0.500 0.500 0.500 (multiplicity 1)

***

# 17
Material: BaSi2P
Method: DFT, meta-GGA SCAN
State: PBEsol geometry

Summary:
* formation energy from raw total energies: 507 meV/atom

Unit cell a=4.202 b=4.202 c=10.018 alpha=90.00 beta=90.00 gamma=90.00
Space group I4/mmm (No. 139)
Unique sites:
Ba 0.000 0.000 0.000 (multiplicity 2)
Si 0.000 0.500 0.250 (multiplicity 4)
P 0.000 0.000 0.500 (multiplicity 2)

***

# 18
Material: TiNi
Method: DFT, meta-GGA SCAN
State: PBEsol geometry

Summary:
* E_form: -0.420 eV per atom

Unit cell a=7.1791 b=7.1791 c=5.2630 alpha=90.00 beta=90.00 gamma=120.00
Space group P-3 (No. 147)
Unique sites:
Ti 0.0000 0.0000 0.0000 (multiplicity 1)
Ti 0.0142 0.3448 0.3466 (multiplicity 6)
Ti 0.3333 0.6667 0.0459 (multiplicity 2)
Ni 0.0000 0.0000 0.5000 (multiplicity 1)
Ni 0.0271 0.3405 0.8597 (multiplicity 6)
Ni 0.3333 0.6667 0.5893 (multiplicity 2)

***

# 19
Material: Cu2SeBr
Method: DFT, meta-GGA SCAN
State: PBEsol geometry

Summary:
* formation energy from raw total energies: -219 meV/atom
* E above lowest polymorph: 0.000 eV/f.u.

Unit cell a=5.524 b=5.524 c=10.953 alpha=90.00 beta=90.00 gamma=90.00
Space group I-42d (No. 122)
Unique sites:
Cu 0.226 0.250 0.125 (multiplicity 8)
Se 0.000 0.000 0.000 (multiplicity 4)
Br 0.000 0.000 0.500 (multiplicity 4)

***

# 20
Material: KTaB2
Method: DFT, meta-GGA SCAN
State: PBEsol geometry

Summary:
* E_form: 1.132 eV per atom

Unit cell a=6.643 b=6.643 c=7.768 alpha=90.00 beta=90.00 gamma=90.00
Space group I-42d (No. 122)
Unique sites:
K 0.000 0.000 0.000 (multiplicity 4)
Ta 0.000 0.000 0.500 (multiplicity 4)
B 0.139 0.250 0.625 (multiplicity 8)